No. 1
Here is a relaxed structure of YP5 from the Alexandria database. Energies are from PBEsol.

It has space group P2_1/m (No. 11), with a = 4.852 Å, b = 9.342 Å, c = 5.293 Å, α = 90.00°, β = 102.92° and γ = 90.00°. The distinct sites, in fractional coordinates, are Y at (0.009, 0.250, 0.349), P at (0.269, 0.250, 0.896), P at (0.282, 0.531, 0.404) and P at (0.381, 0.593, 0.041).

Its energy of formation is -0.56 eV/atom. The crystal system is monoclinic.

---

No. 2
Here is a relaxed structure of YP3 from the Alexandria database. Energies are from PBEsol.

It has space group Pm-3m (No. 221), with a = 4.078 Å, b = 4.078 Å, c = 4.078 Å, α = 90.00°, β = 90.00° and γ = 90.00°. The distinct sites, in fractional coordinates, are Y at (0.000, 0.000, 0.000) and P at (0.000, 0.500, 0.500).

Its energy of formation is -0.41 eV/atom. The crystal system is cubic.

---

No. 3
Here is a relaxed structure of YP2 from the Alexandria database. Energies are from PBEsol.

It has space group C2/m (No. 12), with a = 9.263 Å, b = 3.762 Å, c = 7.804 Å, α = 90.00°, β = 112.90° and γ = 90.00°. The distinct sites, in fractional coordinates, are Y at (0.197, 0.000, 0.199), P at (0.042, 0.500, 0.888) and P at (0.122, 0.000, 0.527).

Its energy of formation is -0.81 eV/atom. The crystal system is monoclinic.

---

No. 4
Here is a relaxed structure of Y5P from the Alexandria database. Energies are from PBEsol.

It has space group P4/mmm (No. 123), with a = 3.558 Å, b = 3.558 Å, c = 12.817 Å, α = 90.00°, β = 90.00° and γ = 90.00°. The distinct sites, in fractional coordinates, are Y at (0.000, 0.000, 0.000), Y at (0.000, 0.000, 0.382), Y at (0.500, 0.500, 0.190) and P at (0.500, 0.500, 0.500).

Its energy of formation is -0.40 eV/atom. The crystal system is tetragonal.

---

No. 5
Here is a relaxed structure of YP2 from the Alexandria database. Energies are from PBEsol.

It has space group I4_1/amd (No. 141, origin choice 2), with a = 3.780 Å, b = 3.780 Å, c = 15.348 Å, α = 90.00°, β = 90.00° and γ = 90.00°. The distinct sites, in fractional coordinates, are Y at (0.000, 0.250, 0.375) and P at (0.000, 0.250, 0.794).

Its energy of formation is -0.76 eV/atom. The crystal system is tetragonal.

---

No. 6
Here is a relaxed structure of Y2P from the Alexandria database. Energies are from PBEsol.

It has space group P-3m1 (No. 164), with a = 3.8564 Å, b = 3.8564 Å, c = 6.3072 Å, α = 90.00°, β = 90.00° and γ = 120.00°. The distinct sites, in fractional coordinates, are Y at (0.3333, 0.6667, 0.2478) and P at (0.0000, 0.0000, 0.0000).

Its energy of formation is -1.02 eV/atom. The crystal system is trigonal.

---

No. 7
Here is a relaxed structure of Y5P from the Alexandria database. Energies are from PBEsol.

It has space group Amm2 (No. 38), with a = 5.107 Å, b = 3.724 Å, c = 16.664 Å, α = 90.00°, β = 90.00° and γ = 90.00°. The distinct sites, in fractional coordinates, are Y at (0.000, 0.000, 0.000), Y at (0.000, 0.000, 0.306), Y at (0.500, 0.000, 0.126), Y at (0.500, 0.000, 0.440), Y at (0.500, 0.000, 0.771) and P at (0.000, 0.000, 0.667).

Its energy of formation is -0.23 eV/atom. The crystal system is orthorhombic.

---

No. 8
Here is a relaxed structure of Y2P from the Alexandria database. Energies are from PBEsol.

It has space group Pnma (No. 62), with a = 7.370 Å, b = 3.798 Å, c = 10.060 Å, α = 90.00°, β = 90.00° and γ = 90.00°. The distinct sites, in fractional coordinates, are Y at (0.029, 0.250, 0.197), Y at (0.178, 0.750, 0.455) and P at (0.176, 0.250, 0.671).

Its energy of formation is -1.09 eV/atom. The crystal system is orthorhombic.

---

No. 9
Here is a relaxed structure of YP2 from the Alexandria database. Energies are from PBEsol.

It has space group Cmcm (No. 63), with a = 4.299 Å, b = 9.680 Å, c = 5.619 Å, α = 90.00°, β = 90.00° and γ = 90.00°. The distinct sites, in fractional coordinates, are Y at (0.000, 0.147, 0.250), P at (0.000, 0.146, 0.750) and P at (0.000, 0.440, 0.250).

Its energy of formation is -0.79 eV/atom. The crystal system is orthorhombic.

---

No. 10
Here is a relaxed structure of Y2ZnP from the Alexandria database. Energies are from PBEsol.

It has space group Imm2 (No. 44), with a = 3.716 Å, b = 4.297 Å, c = 10.354 Å, α = 90.00°, β = 90.00° and γ = 90.00°. The distinct sites, in fractional coordinates, are Y at (0.000, 0.000, 0.000), Y at (0.000, 0.500, 0.237), Zn at (0.000, 0.500, 0.782) and P at (0.000, 0.000, 0.453).

Its energy of formation is -0.69 eV/atom. The crystal system is orthorhombic.

---

No. 11
Here is a relaxed structure of Y2ZnP from the Alexandria database. Energies are from PBEsol.

It has space group F-43m (No. 216), with a = 6.911 Å, b = 6.911 Å, c = 6.911 Å, α = 90.00°, β = 90.00° and γ = 90.00°. The distinct sites, in fractional coordinates, are Y at (0.000, 0.000, 0.000), Y at (0.250, 0.250, 0.250), Zn at (0.250, 0.250, 0.750) and P at (0.000, 0.000, 0.500).

Its energy of formation is 0.06 eV/atom. The crystal system is cubic.

---

No. 12
Here is a relaxed structure of YZn3P from the Alexandria database. Energies are from PBEsol.

It has space group Pm-3m (No. 221), with a = 5.260 Å, b = 5.260 Å, c = 5.260 Å, α = 90.00°, β = 90.00° and γ = 90.00°. The distinct sites, in fractional coordinates, are Y at (0.000, 0.000, 0.000), Zn at (0.000, 0.000, 0.500) and P at (0.500, 0.500, 0.500).

Its energy of formation is 1.38 eV/atom. The crystal system is cubic.